No. 1
DFT (GGA-PBE) results for La5Ir3 after structural relaxation.

- Volume: 27.62 A^3/atom
- DOS(E_F): 0.87 states/eV per atom
- Energy relative to the elements: -0.637 eV per atom

a b c (Å): 6.763 16.903 7.942
angles (deg): 90.00 103.21 90.00
Space group C2/m (No. 12)
Asymmetric unit:
La  0.183  0.194  0.199 (multiplicity 8)
La  0.234  0.392  0.378 (multiplicity 8)
La  0.239  0.500  0.966 (multiplicity 4)
Ir  0.000  0.253  0.500 (multiplicity 4)
Ir  0.000  0.345  0.000 (multiplicity 4)
Ir  0.042  0.000  0.298 (multiplicity 4)

=====

No. 2
DFT (GGA-PBE) results for LaIr4 after structural relaxation.

- Volume: 17.81 A^3/atom
- DOS(E_F): 0.90 states/eV per atom
- Energy relative to the elements: 0.030 eV per atom

a b c (Å): 6.707 6.707 3.958
angles (deg): 90.00 90.00 90.00
Space group I4/m (No. 87)
Asymmetric unit:
La  0.000  0.000  0.000 (multiplicity 2)
Ir  0.103  0.670  0.500 (multiplicity 8)

=====

No. 3
DFT (GGA-PBE) results for LaIr6 after structural relaxation.

- Volume: 22.81 A^3/atom
- DOS(E_F): 1.00 states/eV per atom
- Energy relative to the elements: 0.257 eV per atom

a b c (Å): 6.836 6.836 6.836
angles (deg): 90.00 90.00 90.00
Space group Im-3m (No. 229)
Asymmetric unit:
La  0.000  0.000  0.000 (multiplicity 2)
Ir  0.000  0.250  0.500 (multiplicity 12)

=====

No. 4
DFT (GGA-PBE) results for La4Ir3 after structural relaxation.

- Volume: 23.15 A^3/atom
- DOS(E_F): 1.51 states/eV per atom
- Energy relative to the elements: -0.274 eV per atom

a b c (Å): 5.6458 5.6458 5.8697
angles (deg): 90.00 90.00 120.00
Space group P6/mmm (No. 191)
Asymmetric unit:
La  0.0000  0.0000  0.2386 (multiplicity 2)
La  0.3333  0.6667  0.5000 (multiplicity 2)
Ir  0.0000  0.5000  0.0000 (multiplicity 3)

=====

No. 5
DFT (GGA-PBE) results for LaIr4 after structural relaxation.

- Volume: 22.68 A^3/atom
- DOS(E_F): 1.67 states/eV per atom
- Energy relative to the elements: 2.508 eV per atom

a b c (Å): 4.840 4.840 4.840
angles (deg): 90.00 90.00 90.00
Space group Pm-3m (No. 221)
Asymmetric unit:
La  0.000  0.000  0.000 (multiplicity 1)
Ir  0.000  0.000  0.500 (multiplicity 3)
Ir  0.500  0.500  0.500 (multiplicity 1)

=====

No. 6
DFT (GGA-PBE) results for LaIr4 after structural relaxation.

- Volume: 20.98 A^3/atom
- DOS(E_F): 1.77 states/eV per atom
- Energy relative to the elements: 1.578 eV per atom

a b c (Å): 5.942 5.942 5.942
angles (deg): 90.00 90.00 90.00
Space group Im-3m (No. 229)
Asymmetric unit:
La  0.000  0.000  0.000 (multiplicity 2)
Ir  0.250  0.250  0.250 (multiplicity 8)

=====

No. 7
DFT (GGA-PBE) results for La5Ir4 after structural relaxation.

- Volume: 24.21 A^3/atom
- DOS(E_F): 0.70 states/eV per atom
- Energy relative to the elements: -0.260 eV per atom

a b c (Å): 8.891 8.891 5.512
angles (deg): 90.00 90.00 90.00
Space group I4/mmm (No. 139)
Asymmetric unit:
La  0.000  0.000  0.000 (multiplicity 2)
La  0.193  0.193  0.500 (multiplicity 8)
Ir  0.000  0.348  0.000 (multiplicity 8)

=====

No. 8
DFT (GGA-PBE) results for La5Ir3 after structural relaxation.

- Volume: 26.97 A^3/atom
- DOS(E_F): 0.94 states/eV per atom
- Energy relative to the elements: -0.459 eV per atom

a b c (Å): 7.781 12.019 4.614
angles (deg): 90.00 90.00 90.00
Space group Cmmm (No. 65)
Asymmetric unit:
La  0.000  0.000  0.000 (multiplicity 2)
La  0.208  0.500  0.500 (multiplicity 4)
La  0.250  0.250  0.000 (multiplicity 4)
Ir  0.000  0.174  0.500 (multiplicity 4)
Ir  0.000  0.500  0.000 (multiplicity 2)

=====

No. 9
DFT (GGA-PBE) results for La4Ir after structural relaxation.

- Volume: 32.61 A^3/atom
- DOS(E_F): 1.38 states/eV per atom
- Energy relative to the elements: 0.260 eV per atom

a b c (Å): 3.988 3.988 20.509
angles (deg): 90.00 90.00 90.00
Space group I4/mmm (No. 139)
Asymmetric unit:
La  0.000  0.000  0.076 (multiplicity 4)
La  0.000  0.500  0.250 (multiplicity 4)
Ir  0.000  0.000  0.500 (multiplicity 2)

=====

No. 10
DFT (GGA-PBE) results for La3Ir4 after structural relaxation.

- Volume: 24.54 A^3/atom
- DOS(E_F): 1.37 states/eV per atom
- Energy relative to the elements: -0.128 eV per atom

a b c (Å): 3.638 3.638 25.947
angles (deg): 90.00 90.00 90.00
Space group I4/mmm (No. 139)
Asymmetric unit:
La  0.000  0.000  0.000 (multiplicity 2)
La  0.000  0.000  0.319 (multiplicity 4)
Ir  0.000  0.000  0.110 (multiplicity 4)
Ir  0.000  0.000  0.420 (multiplicity 4)

=====

No. 11
DFT (GGA-PBE) results for La3Ir5 after structural relaxation.

- Volume: 22.27 A^3/atom
- DOS(E_F): 0.66 states/eV per atom
- Energy relative to the elements: -0.317 eV per atom

a b c (Å): 5.554 8.183 8.213
angles (deg): 73.03 87.25 87.31
Space group P1 (No. 1)
Asymmetric unit:
La  0.000  0.000  0.000 (multiplicity 1)
La  0.010  0.078  0.524 (multiplicity 1)
La  0.484  0.860  0.303 (multiplicity 1)
La  0.494  0.383  0.385 (multiplicity 1)
La  0.521  0.884  0.790 (multiplicity 1)
La  0.972  0.592  0.501 (multiplicity 1)
Ir  0.044  0.749  0.775 (multiplicity 1)
Ir  0.230  0.635  0.112 (multiplicity 1)
Ir  0.245  0.201  0.185 (multiplicity 1)
Ir  0.261  0.273  0.747 (multiplicity 1)
Ir  0.449  0.610  0.635 (multiplicity 1)
Ir  0.493  0.429  0.955 (multiplicity 1)
Ir  0.732  0.650  0.074 (multiplicity 1)
Ir  0.745  0.197  0.186 (multiplicity 1)
Ir  0.758  0.308  0.733 (multiplicity 1)
Ir  0.998  0.428  0.954 (multiplicity 1)